SmHo3Tm7 after structural relaxation, computed with GGA-PBE.

Properties
Total magnetic moment, μB per atom: 0.00
Energy of formation, eV per formula unit: 2.2
Distance to the lowest polymorph of the same formula, eV per atom: 0.039
N(E_F), states/eV/cell: 17.43
Total energy, eV per atom: -4.32

Unit cell a=6.9659 b=6.9659 c=8.5107 alpha=90.00 beta=90.00 gamma=120.00
Closest atoms and distances in Å follow each position.
Space group P3m1 (No. 156)
Inequivalent atoms, fractional coordinates:
Sm 0.0000 0.0000 0.0000 x1  9 Tm 3.45-3.48, 3 Ho 3.50
Ho 0.1671 0.3342 0.6632 x3  4 Ho 3.47-3.49, 5 Tm 3.48-3.50, 1 Sm 3.50
Tm 0.0023 0.5011 0.0004 x3  7 Tm 3.44-3.51, 2 Sm 3.48, 2 Ho 3.50
Tm 0.3314 0.1657 0.3298 x3  1 Sm 3.45, 8 Tm 3.46-3.50, 2 Ho 3.48
Tm 0.3333 0.6667 0.3290 x1  9 Tm 3.44-3.48, 3 Ho 3.48

DyPaN after structural relaxation, computed with GGA-PBE.

Properties
Total magnetic moment, μB per atom: 0.30
Distance to the lowest polymorph of the same formula, eV per atom: 1.250
N(E_F), states/eV/cell: 11.76
Total energy, eV per atom: -7.08
Energy relative to the elements, uncorrected, eV per atom: 0.391

Unit cell a=4.6424 b=4.6424 c=7.9084 alpha=90.00 beta=90.00 gamma=90.00
Closest atoms and distances in Å follow each position.
Space group I4mm (No. 107)
Inequivalent atoms, fractional coordinates:
Dy 0.0000 0.0000 0.0000 x2  1 N 2.13
Pa 0.0000 0.0000 0.4843 x2  1 N 1.95
N 0.0000 0.0000 0.7302 x2  1 Pa 1.95, 1 Dy 2.13

BaSmS2 after structural relaxation, computed with GGA-PBE.

Properties
Total magnetic moment, μB per atom: 0.00
Distance to the lowest polymorph of the same formula, eV per atom: 0.073
N(E_F), states/eV/cell: 6.24
Total energy, eV per atom: -5.67
Energy relative to the elements, uncorrected, eV per atom: -1.948

Unit cell a=4.1222 b=4.1222 c=22.3672 alpha=90.00 beta=90.00 gamma=120.00
Closest atoms and distances in Å follow each position.
Space group R3m (No. 160, hexagonal axes)
Inequivalent atoms, fractional coordinates:
Ba 0.0000 0.0000 0.0000 x3  6 S 3.12-3.26
Sm 0.0000 0.0000 0.8265 x3  6 S 2.84-2.90
S 0.0000 0.0000 0.2335 x3  3 Sm 2.90
S 0.0000 0.0000 0.4237 x3  3 Sm 2.84, 3 Ba 3.12

ReNiHg2 after structural relaxation, computed with GGA-PBE.

Properties
Total magnetic moment, μB per atom: 0.05
Energy of formation, eV per formula unit: 2.9
Distance to the lowest polymorph of the same formula, eV per atom: 0.292
N(E_F), states/eV/cell: 3.97
Total energy, eV per atom: -3.99

Unit cell a=2.8467 b=2.8467 c=8.2757 alpha=90.00 beta=90.00 gamma=90.00
Closest atoms and distances in Å follow each position.
Space group P4/mmm (No. 123)
Inequivalent atoms, fractional coordinates:
Re 0.0000 0.0000 0.0000 x1  4 Re 2.85, 8 Hg 3.01
Ni 0.0000 0.0000 0.5000 x1  8 Hg 2.77, 4 Ni 2.85
Hg 0.5000 0.5000 0.2706 x2  4 Ni 2.77, 4 Hg 2.85, 4 Re 3.01

ZnCr2Ir2 after structural relaxation, computed with GGA-PBE.

Properties
Total magnetic moment, μB per atom: 0.00
Energy of formation, eV per formula unit: 1.4
Distance to the lowest polymorph of the same formula, eV per atom: 0.263
N(E_F), states/eV/cell: 9.76
Total energy, eV per atom: -7.38

Unit cell a=3.9223 b=3.9223 c=9.8828 alpha=90.00 beta=90.00 gamma=90.00
Closest atoms and distances in Å follow each position.
Space group I4/mmm (No. 139)
Inequivalent atoms, fractional coordinates:
Zn 0.0000 0.0000 0.0000 x2  8 Cr 2.95, 8 Ir 3.15
Cr 0.0000 0.0000 0.3994 x4  1 Cr 1.99
Ir 0.0000 0.5000 0.2500 x4  4 Cr 2.45

YNb2Ir2 after structural relaxation, computed with GGA-PBE.

Properties
Total magnetic moment, μB per atom: 0.00
Energy of formation, eV per formula unit: -0.6
Distance to the lowest polymorph of the same formula, eV per atom: 0.429
N(E_F), states/eV/cell: 11.39
Total energy, eV per atom: -8.99

Unit cell a=4.6264 b=4.6264 c=9.9477 alpha=90.00 beta=90.00 gamma=90.00
Closest atoms and distances in Å follow each position.
Space group I4/mmm (No. 139)
Inequivalent atoms, fractional coordinates:
Y 0.0000 0.0000 0.0000 x2  8 Ir 3.40, 10 Nb 3.54-3.62
Nb 0.0000 0.0000 0.3635 x4  4 Ir 2.57, 1 Nb 2.71
Ir 0.0000 0.5000 0.2500 x4  4 Nb 2.57

ReNiAu2 after structural relaxation, computed with GGA-PBE.

Properties
Total magnetic moment, μB per atom: 0.22
Energy of formation, eV per formula unit: 2.5
Distance to the lowest polymorph of the same formula, eV per atom: 0.459
N(E_F), states/eV/cell: 21.43
Total energy, eV per atom: -5.57

Unit cell a=6.2940 b=6.2940 c=6.2940 alpha=90.00 beta=90.00 gamma=90.00
Closest atoms and distances in Å follow each position.
Space group F-43m (No. 216)
Inequivalent atoms, fractional coordinates:
Re 0.0000 0.0000 0.0000 x4  4 Ni 2.73, 4 Au 2.73
Ni 0.2500 0.2500 0.2500 x4  4 Re 2.73, 4 Au 2.73
Au 0.0000 0.0000 0.5000 x4  4 Ni 2.73, 4 Au 2.73
Au 0.2500 0.2500 0.7500 x4  4 Re 2.73, 4 Au 2.73

Ac2MgZn2O6 after structural relaxation, computed with GGA-PBE.

Properties
Total magnetic moment, μB per atom: 0.00
N(E_F), states/eV/cell: 0.00
Total energy, eV per atom: -6.09
Energy relative to the elements, uncorrected, eV per atom: -2.263

Unit cell a=5.9291 b=5.9291 c=16.0856 alpha=90.00 beta=90.00 gamma=120.00
Closest atoms and distances in Å follow each position.
Space group R-3m (No. 166, hexagonal axes)
Inequivalent atoms, fractional coordinates:
Ac 0.0000 0.0000 0.2091 x6  3 O 2.47
Mg 0.0000 0.0000 0.0000 x3  6 O 2.11
Zn 0.0000 0.0000 0.4194 x6  3 O 1.87
O 0.0314 0.5157 0.7560 x18  1 Zn 1.87